Density functional theory data (PBE) for an optimized crystal structure of KTl12Au6.

Output
formation enthalpy at 0 K = -0.051 eV per atom
space-group type = R-3m, No. 166
raw total energy = -50.12 eV per cell

Cell: 8.7223 8.7223 8.7223 Å, 106.76 106.76 106.76°
Fractional positions:
K 0.0000 0.0000 0.0000
Tl 0.1163 0.5000 0.8837
Tl 0.1163 0.8837 0.5000
Tl 0.1722 0.4241 0.4241
Tl 0.4241 0.1722 0.4241
Tl 0.4241 0.4241 0.1722
Tl 0.5000 0.1163 0.8837
Tl 0.5000 0.8837 0.1163
Tl 0.5759 0.5759 0.8278
Tl 0.5759 0.8278 0.5759
Tl 0.8278 0.5759 0.5759
Tl 0.8837 0.1163 0.5000
Tl 0.8837 0.5000 0.1163
Au 0.2572 0.7357 0.7357
Au 0.2643 0.2643 0.7428
Au 0.2643 0.7428 0.2643
Au 0.7357 0.2572 0.7357
Au 0.7357 0.7357 0.2572
Au 0.7428 0.2643 0.2643